First-principles (PBE) data for Nd3Y4Tl4 after structural relaxation, as listed in the Alexandria database.

## Properties
The density is 7.74 g/cm³. For the formation energy, the calculation gives -0.26 eV per atom.

```
data_Nd3Y4Tl4
_space_group_name_H-M_alt 'I m m m'
_space_group_IT_number 71
_space_group_name_Hall '-I 2 2'
_cell_length_a 3.853
_cell_length_b 9.815
_cell_length_c 18.231
_cell_angle_alpha 90.00
_cell_angle_beta 90.00
_cell_angle_gamma 90.00
loop_
_atom_site_label
_atom_site_fract_x
_atom_site_fract_y
_atom_site_fract_z
Nd1 0.000 0.000 0.000
Nd2 0.000 0.500 0.102
Y1 0.000 0.301 0.333
Tl1 0.000 0.000 0.255
Tl2 0.000 0.221 0.500
```


First-principles (PBE) data for Zr4SiNi after structural relaxation, as listed in the Alexandria database.

## Properties
The density is 6.55 g/cm³. Its formation energy without anion corrections is -0.516 eV/atom.

```
data_Zr4SiNi
_space_group_name_H-M_alt 'I 4 2 2'
_space_group_IT_number 97
_space_group_name_Hall 'I 4 2'
_cell_length_a 6.555
_cell_length_b 6.555
_cell_length_c 5.330
_cell_angle_alpha 90.00
_cell_angle_beta 90.00
_cell_angle_gamma 90.00
loop_
_atom_site_label
_atom_site_fract_x
_atom_site_fract_y
_atom_site_fract_z
Zr1 0.160 0.340 0.250
Si1 0.000 0.000 0.000
Ni1 0.000 0.000 0.500
```


First-principles (PBE) data for Ho2Tm15Th2 after structural relaxation, as listed in the Alexandria database.

## Properties
The density is 9.03 g/cm³. For the formation energy, the calculation gives 0.29 eV per atom.

```
data_Ho2Tm15Th2
_space_group_name_H-M_alt 'R -3 m'
_space_group_IT_number 166
_space_group_name_Hall '-R 3 2"'
_cell_length_a 10.9764
_cell_length_b 10.9764
_cell_length_c 17.6037
_cell_angle_alpha 90.00
_cell_angle_beta 90.00
_cell_angle_gamma 120.00
loop_
_atom_site_label
_atom_site_fract_x
_atom_site_fract_y
_atom_site_fract_z
Ho1 0.0000 0.0000 0.1831
Tm1 0.0000 0.3021 0.5000
Tm2 0.0000 0.5000 0.0000
Tm3 0.0071 0.5035 0.6375
Th1 0.0000 0.0000 0.4098
```


First-principles (PBE) data for As3RuAu after structural relaxation, as listed in the Alexandria database.

## Properties
The density is 7.98 g/cm³. Its relative energy among the computed polymorphs is 0 meV/atom. For the formation energy, the calculation gives 0.57 eV per atom.

```
data_As3RuAu
_space_group_name_H-M_alt 'P m -3 m'
_space_group_IT_number 221
_space_group_name_Hall '-P 4 2 3'
_cell_length_a 4.774
_cell_length_b 4.774
_cell_length_c 4.774
_cell_angle_alpha 90.00
_cell_angle_beta 90.00
_cell_angle_gamma 90.00
loop_
_atom_site_label
_atom_site_fract_x
_atom_site_fract_y
_atom_site_fract_z
As1 0.000 0.000 0.500
Ru1 0.000 0.000 0.000
Au1 0.500 0.500 0.500
```


First-principles (PBE) data for Nb2Ni2Bi after structural relaxation, as listed in the Alexandria database.

## Properties
The density is 10.23 g/cm³. For the formation energy, the calculation gives 0.06 eV per atom.

```
data_Nb2Ni2Bi
_space_group_name_H-M_alt 'P 4/m b m'
_space_group_IT_number 127
_space_group_name_Hall '-P 4 2ab'
_cell_length_a 6.746
_cell_length_b 6.746
_cell_length_c 3.654
_cell_angle_alpha 90.00
_cell_angle_beta 90.00
_cell_angle_gamma 90.00
loop_
_atom_site_label
_atom_site_fract_x
_atom_site_fract_y
_atom_site_fract_z
Nb1 0.164 0.336 0.000
Ni1 0.123 0.623 0.500
Bi1 0.000 0.000 0.500
```


First-principles (PBE) data for H28RuS2N6O10 after structural relaxation, as listed in the Alexandria database.

## Properties
The density is 1.83 g/cm³. The value obtained for the total energy is -5.257 eV per atom.

```
data_H28RuS2N6O10
_space_group_name_H-M_alt 'P 1 21/c 1'
_space_group_IT_number 14
_cell_length_a 6.235
_cell_length_b 10.123
_cell_length_c 12.676
_cell_angle_alpha 90.00
_cell_angle_beta 96.37
_cell_angle_gamma 90.00
loop_
_space_group_symop_operation_xyz
'x,y,z'
'-x,-y,-z'
'-x,y+1/2,-z+1/2'
'x,-y+1/2,z+1/2'
loop_
_atom_site_label
_atom_site_fract_x
_atom_site_fract_y
_atom_site_fract_z
H1 0.052 0.088 0.363
H2 0.112 0.235 0.657
H3 0.113 0.125 0.968
H4 0.167 0.013 0.655
H5 0.176 0.011 0.126
H6 0.177 0.629 0.080
H7 0.184 0.638 0.213
H8 0.220 0.131 0.852
H9 0.306 0.229 0.950
H10 0.330 0.616 0.669
H11 0.343 0.544 0.915
H12 0.366 0.214 0.687
H13 0.404 0.035 0.201
H14 0.443 0.099 0.430
Ru1 0.500 0.000 0.000
S1 0.311 0.677 0.423
N1 0.116 0.587 0.145
N2 0.254 0.135 0.933
N3 0.333 0.521 0.640
O1 0.068 0.655 0.410
O2 0.223 0.173 0.693
O3 0.336 0.047 0.384
O4 0.350 0.694 0.988
O5 0.373 0.712 0.312
```


First-principles (PBE) data for YZn2C2 after structural relaxation, as listed in the Alexandria database.

## Properties
The density is 6.02 g/cm³. Its relative energy among the computed polymorphs is 749 meV/atom. For the formation energy, the calculation gives 1.02 eV per atom.

```
data_YZn2C2
_space_group_name_H-M_alt 'P 4/m b m'
_space_group_IT_number 127
_space_group_name_Hall '-P 4 2ab'
_cell_length_a 6.660
_cell_length_b 6.660
_cell_length_c 3.033
_cell_angle_alpha 90.00
_cell_angle_beta 90.00
_cell_angle_gamma 90.00
loop_
_atom_site_label
_atom_site_fract_x
_atom_site_fract_y
_atom_site_fract_z
Y1 0.000 0.000 0.000
Zn1 0.133 0.367 0.500
C1 0.161 0.661 0.000
```


First-principles (PBE) data for Si2SeN after structural relaxation, as listed in the Alexandria database.

## Properties
The density is 3.99 g/cm³. Its relative energy among the computed polymorphs is 0 meV/atom. Its formation energy without anion corrections is 0.283 eV/atom.

```
data_Si2SeN
_space_group_name_H-M_alt 'I -4 2 d'
_space_group_IT_number 122
_space_group_name_Hall 'I -4 2bw'
_cell_length_a 4.596
_cell_length_b 4.596
_cell_length_c 11.743
_cell_angle_alpha 90.00
_cell_angle_beta 90.00
_cell_angle_gamma 90.00
loop_
_atom_site_label
_atom_site_fract_x
_atom_site_fract_y
_atom_site_fract_z
Si1 0.114 0.250 0.125
Se1 0.000 0.000 0.500
N1 0.000 0.000 0.000
```


First-principles (PBE) data for NbCrH3 after structural relaxation, as listed in the Alexandria database.

## Properties
The density is 6.01 g/cm³. Its relative energy among the computed polymorphs is 0 meV/atom.

```
data_NbCrH3
_space_group_name_H-M_alt 'C 1 2/c 1'
_space_group_IT_number 15
_cell_length_a 7.228
_cell_length_b 9.959
_cell_length_c 4.584
_cell_angle_alpha 90.00
_cell_angle_beta 97.68
_cell_angle_gamma 90.00
loop_
_space_group_symop_operation_xyz
'x,y,z'
'-x,-y,-z'
'-x,y,-z+1/2'
'x,-y,z+1/2'
'x+1/2,y+1/2,z'
'-x+1/2,-y+1/2,-z'
'-x+1/2,y+1/2,-z+1/2'
'x+1/2,-y+1/2,z+1/2'
loop_
_atom_site_label
_atom_site_fract_x
_atom_site_fract_y
_atom_site_fract_z
Nb1 0.154 0.099 0.046
Cr1 0.000 0.303 0.750
Cr2 0.000 0.434 0.250
H1 0.106 0.152 0.605
H2 0.128 0.298 0.102
H3 0.144 0.432 0.605
```


First-principles (PBE) data for SmY2Pd after structural relaxation, as listed in the Alexandria database.

## Properties
The density is 6.46 g/cm³. Its relative energy among the computed polymorphs is 22 meV/atom. For the formation energy, the calculation gives -0.44 eV per atom.

```
data_SmY2Pd
_space_group_name_H-M_alt 'P 1 21/m 1'
_space_group_IT_number 11
_cell_length_a 3.766
_cell_length_b 9.445
_cell_length_c 6.553
_cell_angle_alpha 90.00
_cell_angle_beta 106.66
_cell_angle_gamma 90.00
loop_
_space_group_symop_operation_xyz
'x,y,z'
'-x,-y,-z'
'-x,y+1/2,-z'
'x,-y+1/2,z'
loop_
_atom_site_label
_atom_site_fract_x
_atom_site_fract_y
_atom_site_fract_z
Sm1 0.064 0.250 0.128
Y1 0.365 0.061 0.729
Pd1 0.240 0.750 0.480
```


First-principles (PBE) data for Cu3SiAg after structural relaxation, as listed in the Alexandria database.

## Properties
The density is 6.38 g/cm³. Its relative energy among the computed polymorphs is 0 meV/atom. Its formation energy without anion corrections is 0.418 eV/atom.

```
data_Cu3SiAg
_space_group_name_H-M_alt 'P m -3 m'
_space_group_IT_number 221
_space_group_name_Hall '-P 4 2 3'
_cell_length_a 4.398
_cell_length_b 4.398
_cell_length_c 4.398
_cell_angle_alpha 90.00
_cell_angle_beta 90.00
_cell_angle_gamma 90.00
loop_
_atom_site_label
_atom_site_fract_x
_atom_site_fract_y
_atom_site_fract_z
Cu1 0.000 0.000 0.500
Si1 0.000 0.000 0.000
Ag1 0.500 0.500 0.500
```


First-principles (PBE) data for PrInPt3 after structural relaxation, as listed in the Alexandria database.

## Properties
The density is 11.63 g/cm³. For the formation energy, the calculation gives -0.57 eV per atom.

```
data_PrInPt3
_space_group_name_H-M_alt 'P 63/m m c'
_space_group_IT_number 194
_space_group_name_Hall '-P 6c 2c'
_cell_length_a 5.8523
_cell_length_b 5.8523
_cell_length_c 16.1898
_cell_angle_alpha 90.00
_cell_angle_beta 90.00
_cell_angle_gamma 120.00
loop_
_atom_site_label
_atom_site_fract_x
_atom_site_fract_y
_atom_site_fract_z
Pr1 0.0000 0.0000 0.0000
Pr2 0.3333 0.6667 0.2500
In1 0.3333 0.6667 0.6298
Pt1 0.0000 0.5000 0.0000
Pt2 0.1519 0.3037 0.7500
```


First-principles (PBE) data for Tb6As5 after structural relaxation, as listed in the Alexandria database.

## Properties
The density is 7.50 g/cm³. For the formation energy, the calculation gives -1.38 eV per atom.

```
data_Tb6As5
_space_group_name_H-M_alt 'C 1 2/m 1'
_space_group_IT_number 12
_cell_length_a 7.115
_cell_length_b 12.304
_cell_length_c 7.126
_cell_angle_alpha 90.00
_cell_angle_beta 109.44
_cell_angle_gamma 90.00
loop_
_space_group_symop_operation_xyz
'x,y,z'
'-x,-y,-z'
'-x,y,-z'
'x,-y,z'
'x+1/2,y+1/2,z'
'-x+1/2,-y+1/2,-z'
'-x+1/2,y+1/2,-z'
'x+1/2,-y+1/2,z'
loop_
_atom_site_label
_atom_site_fract_x
_atom_site_fract_y
_atom_site_fract_z
Tb1 0.246 0.000 0.255
Tb2 0.247 0.169 0.749
As1 0.000 0.000 0.500
As2 0.000 0.166 0.000
As3 0.000 0.333 0.500
```


First-principles (PBE) data for CeSm3Y after structural relaxation, as listed in the Alexandria database.

## Properties
The density is 6.76 g/cm³. For the formation energy, the calculation gives 0.21 eV per atom.

```
data_CeSm3Y
_space_group_name_H-M_alt 'P -1'
_space_group_IT_number 2
_cell_length_a 7.112
_cell_length_b 9.123
_cell_length_c 11.882
_cell_angle_alpha 106.73
_cell_angle_beta 100.21
_cell_angle_gamma 108.55
loop_
_space_group_symop_operation_xyz
'x,y,z'
'-x,-y,-z'
loop_
_atom_site_label
_atom_site_fract_x
_atom_site_fract_y
_atom_site_fract_z
Ce1 0.180 0.363 0.475
Ce2 0.295 0.112 0.475
Sm1 0.069 0.568 0.773
Sm2 0.078 0.079 0.158
Sm3 0.176 0.177 0.717
Sm4 0.295 0.795 0.226
Sm5 0.323 0.823 0.646
Sm6 0.458 0.460 0.283
Y1 0.213 0.425 0.000
Y2 0.465 0.167 0.001
```


First-principles (PBE) data for NaLi2Ni2 after structural relaxation, as listed in the Alexandria database.

## Properties
The density is 3.48 g/cm³. Its relative energy among the computed polymorphs is 0 meV/atom. For the formation energy, the calculation gives 0.21 eV per atom.

```
data_NaLi2Ni2
_space_group_name_H-M_alt 'P 4/m b m'
_space_group_IT_number 127
_space_group_name_Hall '-P 4 2ab'
_cell_length_a 7.569
_cell_length_b 7.569
_cell_length_c 2.572
_cell_angle_alpha 90.00
_cell_angle_beta 90.00
_cell_angle_gamma 90.00
loop_
_atom_site_label
_atom_site_fract_x
_atom_site_fract_y
_atom_site_fract_z
Na1 0.000 0.000 0.000
Li1 0.177 0.323 0.500
Ni1 0.110 0.610 0.000
```